1.
Compound: Tb6Pr4Th
Source: Alexandria via LeMat-Bulk
Functional: PBE-GGA
Structure: optimized geometry

Output
Magnetization: 0.001 μB per formula unit
Final energy: -105.7 eV/cell
Symmetry: Cmcm
D(E_F): 19.9 states/eV/f.u.
Calculated volume: 33.7 A^3/atom

Cell: 5.6664 5.6664 26.0697 Å, 90.00 90.00 117.63°
With the nearest neighbours (Å) after each atom.
Element x y z (fractional)
Tb  0.0000  0.0000  0.0000  8 Pr 3.24-3.56
Tb  0.0000  0.0000  0.5000  8 Pr 3.24-3.56
Tb  0.0447  0.9553  0.7500  3 Th 3.28-3.33, 2 Pr 3.31, 2 Tb 3.62
Tb  0.3041  0.6959  0.1031  6 Pr 3.33-3.71
Tb  0.3041  0.6959  0.3969  6 Pr 3.33-3.71
Tb  0.3738  0.6262  0.6843  5 Tb 3.43-3.78, 4 Pr 3.59-3.72, 3 Th 3.65-3.76
Tb  0.3738  0.6262  0.8157  5 Tb 3.43-3.78, 4 Pr 3.59-3.72, 3 Th 3.65-3.76
Tb  0.6262  0.3738  0.1843  5 Tb 3.43-3.78, 4 Pr 3.59-3.72, 3 Th 3.65-3.76
Tb  0.6262  0.3738  0.3157  5 Tb 3.43-3.78, 4 Pr 3.59-3.72, 3 Th 3.65-3.76
Tb  0.6959  0.3041  0.6031  6 Pr 3.33-3.71
Tb  0.6959  0.3041  0.8969  6 Pr 3.33-3.71
Tb  0.9553  0.0447  0.2500  3 Th 3.28-3.33, 2 Pr 3.31, 2 Tb 3.62
Pr  0.0421  0.9579  0.6232  6 Tb 3.24-3.59, 1 Pr 3.61
Pr  0.0421  0.9579  0.8768  6 Tb 3.24-3.59, 1 Pr 3.61
Pr  0.3477  0.6523  0.5441  8 Tb 3.48-3.86, 2 Pr 3.61-3.74
Pr  0.3477  0.6523  0.9559  8 Tb 3.48-3.86, 2 Pr 3.61-3.74
Pr  0.6523  0.3477  0.0441  8 Tb 3.48-3.86, 2 Pr 3.61-3.74
Pr  0.6523  0.3477  0.4559  8 Tb 3.48-3.86, 2 Pr 3.61-3.74
Pr  0.9579  0.0421  0.1232  6 Tb 3.24-3.59, 1 Pr 3.61
Pr  0.9579  0.0421  0.3768  6 Tb 3.24-3.59, 1 Pr 3.61
Th  0.2933  0.7067  0.2500  5 Tb 3.28-3.65
Th  0.7067  0.2933  0.7500  5 Tb 3.28-3.65

---

2.
Compound: ThTlCu2Br8
Source: Alexandria via LeMat-Bulk
Functional: PBE-GGA
Structure: optimized geometry

Output
Magnetization: 1.116 μB per formula unit
Formation energy without anion corrections: -0.9231 eV/atom
Final energy: -42.4 eV/cell
Symmetry: P-1
D(E_F): 5.7 states/eV/f.u.
Calculated volume: 36.9 A^3/atom

Cell: 6.8421 6.8893 9.7424 Å, 89.34 89.29 74.37°
With the nearest neighbours (Å) after each atom.
Element x y z (fractional)
Th  0.0000  0.0000  0.0000  6 Br 2.74-2.92
Tl  0.0000  0.0000  0.5000  6 Br 3.36-3.60
Cu  0.4990  0.4988  0.3434  4 Br 2.41-2.49
Cu  0.5010  0.5012  0.6566  4 Br 2.41-2.49
Br  0.2417  0.7669  0.2211  1 Cu 2.49
Br  0.2441  0.2576  0.0005  1 Th 2.74
Br  0.2485  0.7739  0.7785  1 Cu 2.49
Br  0.3182  0.3399  0.5044  2 Cu 2.41
Br  0.6818  0.6601  0.4956  2 Cu 2.41
Br  0.7515  0.2261  0.2215  1 Cu 2.49
Br  0.7559  0.7424  0.9995  1 Th 2.74
Br  0.7583  0.2331  0.7789  1 Cu 2.49

---

3.
Compound: PaSi2Pt
Source: Alexandria via LeMat-Bulk
Functional: PBE-GGA
Structure: optimized geometry

Output
Magnetization: 0.001 μB per formula unit
Formation energy without anion corrections: -0.3297 eV/atom
Final energy: -27.7 eV/cell
Symmetry: R-3m
D(E_F): 4.6 states/eV/f.u.
Calculated volume: 18.3 A^3/atom

Cell: 4.4880 4.4880 4.4880 Å, 66.80 66.80 66.80°
With the nearest neighbours (Å) after each atom.
Element x y z (fractional)
Pa  0.0000  0.0000  0.0000  8 Si 2.77-2.94
Si  0.2669  0.2669  0.2669  1 Pt 2.42
Si  0.7331  0.7331  0.7331  1 Pt 2.42
Pt  0.5000  0.5000  0.5000  2 Si 2.42

---

Please write out number 2 again, unchanged.
Compound: ThTlCu2Br8
Source: Alexandria via LeMat-Bulk
Functional: PBE-GGA
Structure: optimized geometry

Output
Magnetization: 1.116 μB per formula unit
Formation energy without anion corrections: -0.9231 eV/atom
Final energy: -42.4 eV/cell
Symmetry: P-1
D(E_F): 5.7 states/eV/f.u.
Calculated volume: 36.9 A^3/atom

Cell: 6.8421 6.8893 9.7424 Å, 89.34 89.29 74.37°
With the nearest neighbours (Å) after each atom.
Element x y z (fractional)
Th  0.0000  0.0000  0.0000  6 Br 2.74-2.92
Tl  0.0000  0.0000  0.5000  6 Br 3.36-3.60
Cu  0.4990  0.4988  0.3434  4 Br 2.41-2.49
Cu  0.5010  0.5012  0.6566  4 Br 2.41-2.49
Br  0.2417  0.7669  0.2211  1 Cu 2.49
Br  0.2441  0.2576  0.0005  1 Th 2.74
Br  0.2485  0.7739  0.7785  1 Cu 2.49
Br  0.3182  0.3399  0.5044  2 Cu 2.41
Br  0.6818  0.6601  0.4956  2 Cu 2.41
Br  0.7515  0.2261  0.2215  1 Cu 2.49
Br  0.7559  0.7424  0.9995  1 Th 2.74
Br  0.7583  0.2331  0.7789  1 Cu 2.49